1.
# TbPaHg, relaxed, DFT PBE-GGA
# E_form = -0.3 eV per formula unit
data_TbPaHg
_chemical_formula_sum 'Tb2 Pa2 Hg2'
_cell_length_a 4.3977
_cell_length_b 4.3644
_cell_length_c 8.4597
_cell_angle_alpha 90.00
_cell_angle_beta 90.51
_cell_angle_gamma 90.00
_space_group_name_H-M_alt 'P 1 21/m 1'
_space_group_IT_number 11
loop_
_space_group_symop_operation_xyz
'x,y,z'
'-x,-y,-z'
'-x,y+1/2,-z'
'x,-y+1/2,z'
loop_
_atom_site_label
_atom_site_fract_x
_atom_site_fract_y
_atom_site_fract_z
Tb1 0.2470 0.2500 0.1420
Pa1 0.2692 0.7500 0.4986
Hg1 0.2462 0.2500 0.7799

2.
# LuScVRh, relaxed, DFT PBE-GGA
# E_form = -1.3 eV per formula unit
data_LuScVRh
_chemical_formula_sum 'Lu4 Sc4 V4 Rh4'
_cell_length_a 6.7134
_cell_length_b 6.7134
_cell_length_c 6.7134
_cell_angle_alpha 90.00
_cell_angle_beta 90.00
_cell_angle_gamma 90.00
_space_group_name_H-M_alt 'F -4 3 m'
_space_group_IT_number 216
_space_group_name_Hall 'F -4 2 3'
loop_
_atom_site_label
_atom_site_fract_x
_atom_site_fract_y
_atom_site_fract_z
Lu1 0.0000 0.0000 0.0000
Sc1 0.0000 0.0000 0.5000
V1 0.2500 0.2500 0.2500
Rh1 0.2500 0.2500 0.7500

3.
# Mg2TcP, relaxed, DFT PBE-GGA
# E_form = 0.1 eV per formula unit
data_Mg2TcP
_chemical_formula_sum 'Mg2 Tc1 P1'
_cell_length_a 3.4952
_cell_length_b 3.5000
_cell_length_c 5.1910
_cell_angle_alpha 90.00
_cell_angle_beta 90.14
_cell_angle_gamma 90.00
_space_group_name_H-M_alt 'P 1 2/m 1'
_space_group_IT_number 10
loop_
_space_group_symop_operation_xyz
'x,y,z'
'-x,-y,-z'
'-x,y,-z'
'x,-y,z'
loop_
_atom_site_label
_atom_site_fract_x
_atom_site_fract_y
_atom_site_fract_z
Mg1 0.0013 0.0000 0.2470
Tc1 0.5000 0.5000 0.0000
P1 0.5000 0.5000 0.5000

4.
# CaErPtPb, relaxed, DFT PBE-GGA
# excess energy over the best structure of this formula in the dataset = 0.0000 eV/atom
# E_form = -3.4 eV per formula unit
data_CaErPtPb
_chemical_formula_sum 'Ca1 Er1 Pt1 Pb1'
_cell_length_a 3.5315
_cell_length_b 3.5315
_cell_length_c 8.0438
_cell_angle_alpha 90.00
_cell_angle_beta 90.00
_cell_angle_gamma 90.00
_space_group_name_H-M_alt 'P 4 m m'
_space_group_IT_number 99
loop_
_space_group_symop_operation_xyz
'x,y,z'
'-y,x,z'
'-x,-y,z'
'y,-x,z'
'-x,y,z'
'y,x,z'
'x,-y,z'
'-y,-x,z'
loop_
_atom_site_label
_atom_site_fract_x
_atom_site_fract_y
_atom_site_fract_z
Ca1 0.0000 0.0000 0.0000
Er1 0.0000 0.0000 0.5760
Pt1 0.5000 0.5000 0.7594
Pb1 0.5000 0.5000 0.2923

5.
# La3PH, relaxed, DFT PBE-GGA
# excess energy over the best structure of this formula in the dataset = 0.0000 eV/atom
data_La3PH
_chemical_formula_sum 'La3 P1 H1'
_cell_length_a 4.8490
_cell_length_b 4.8490
_cell_length_c 4.8490
_cell_angle_alpha 90.00
_cell_angle_beta 90.00
_cell_angle_gamma 90.00
_space_group_name_H-M_alt 'P m -3 m'
_space_group_IT_number 221
_space_group_name_Hall '-P 4 2 3'
loop_
_atom_site_label
_atom_site_fract_x
_atom_site_fract_y
_atom_site_fract_z
La1 0.0000 0.0000 0.5000
P1 0.5000 0.5000 0.5000
H1 0.0000 0.0000 0.0000

6.
# Ba2MgPb4Au3, relaxed, DFT PBE-GGA
# E_form = -4.4 eV per formula unit
data_Ba2MgPb4Au3
_chemical_formula_sum 'Ba2 Mg1 Pb4 Au3'
_cell_length_a 4.9080
_cell_length_b 4.9080
_cell_length_c 12.2929
_cell_angle_alpha 90.00
_cell_angle_beta 90.00
_cell_angle_gamma 90.00
_space_group_name_H-M_alt 'P -4 m 2'
_space_group_IT_number 115
loop_
_space_group_symop_operation_xyz
'x,y,z'
'y,-x,-z'
'-x,-y,z'
'-y,x,-z'
'-x,y,z'
'-y,-x,-z'
'x,-y,z'
'y,x,-z'
loop_
_atom_site_label
_atom_site_fract_x
_atom_site_fract_y
_atom_site_fract_z
Ba1 0.0000 0.5000 0.2486
Mg1 0.5000 0.5000 0.0000
Pb1 0.0000 0.0000 0.5000
Pb2 0.0000 0.5000 0.8673
Pb3 0.5000 0.5000 0.5000
Au1 0.0000 0.0000 0.0000
Au2 0.0000 0.5000 0.6369

7.
# InWBr, relaxed, DFT PBE-GGA
# raw formation energy = 522 meV per atom
# excess energy over the best structure of this formula in the dataset = 0.0000 eV/atom
data_InWBr
_chemical_formula_sum 'In1 W1 Br1'
_cell_length_a 3.1148
_cell_length_b 3.1148
_cell_length_c 7.8151
_cell_angle_alpha 90.00
_cell_angle_beta 90.00
_cell_angle_gamma 120.00
_space_group_name_H-M_alt 'P 3 m 1'
_space_group_IT_number 156
loop_
_space_group_symop_operation_xyz
'x,y,z'
'-y,x-y,z'
'-x+y,-x,z'
'-y,-x,z'
'-x+y,y,z'
'x,x-y,z'
loop_
_atom_site_label
_atom_site_fract_x
_atom_site_fract_y
_atom_site_fract_z
In1 0.0000 0.0000 0.0000
W1 0.3333 0.6667 0.3131
Br1 0.6667 0.3333 0.5538

8.
# AcLa6Tb2Tm, relaxed, DFT PBE-GGA
# E_form = 1.1 eV per formula unit
data_AcLa6Tb2Tm
_chemical_formula_sum 'Ac4 La24 Tb8 Tm4'
_cell_length_a 9.4652
_cell_length_b 15.5914
_cell_length_c 9.9454
_cell_angle_alpha 90.00
_cell_angle_beta 97.18
_cell_angle_gamma 90.00
_space_group_name_H-M_alt 'C 1 2/c 1'
_space_group_IT_number 15
loop_
_space_group_symop_operation_xyz
'x,y,z'
'-x,-y,-z'
'-x,y,-z+1/2'
'x,-y,z+1/2'
'x+1/2,y+1/2,z'
'-x+1/2,-y+1/2,-z'
'-x+1/2,y+1/2,-z+1/2'
'x+1/2,-y+1/2,z+1/2'
loop_
_atom_site_label
_atom_site_fract_x
_atom_site_fract_y
_atom_site_fract_z
Ac1 0.0000 0.0240 0.2500
La1 0.0649 0.1821 0.9496
La2 0.0987 0.3938 0.1199
La3 0.2216 0.2246 0.3107
Tb1 0.2448 0.4485 0.4543
Tm1 0.0000 0.4121 0.7500

Copy entry 4 word for word.
# CaErPtPb, relaxed, DFT PBE-GGA
# excess energy over the best structure of this formula in the dataset = 0.0000 eV/atom
# E_form = -3.4 eV per formula unit
data_CaErPtPb
_chemical_formula_sum 'Ca1 Er1 Pt1 Pb1'
_cell_length_a 3.5315
_cell_length_b 3.5315
_cell_length_c 8.0438
_cell_angle_alpha 90.00
_cell_angle_beta 90.00
_cell_angle_gamma 90.00
_space_group_name_H-M_alt 'P 4 m m'
_space_group_IT_number 99
loop_
_space_group_symop_operation_xyz
'x,y,z'
'-y,x,z'
'-x,-y,z'
'y,-x,z'
'-x,y,z'
'y,x,z'
'x,-y,z'
'-y,-x,z'
loop_
_atom_site_label
_atom_site_fract_x
_atom_site_fract_y
_atom_site_fract_z
Ca1 0.0000 0.0000 0.0000
Er1 0.0000 0.0000 0.5760
Pt1 0.5000 0.5000 0.7594
Pb1 0.5000 0.5000 0.2923

Q: What is the formula in the fourth record?
A: CaErPtPb